# 1
First-principles (GGA-PBE) data for an optimized crystal structure of Ac8SmDy4, as listed in the Alexandria database.

Properties
E (Ha/atom): -0.1439
Formation energy (eV per formula unit): 5.10
Symmetry: R-3m (166)

Lattice parameters (Å, degrees): 11.7783 11.7783 8.3238 90.00 135.03 120.00
Last column: nearest neighbours and their distance in Å.
Fractional positions:
Ac: 0.5174 0.7587 0.2762  4 Dy 3.47-3.65, 1 Sm 3.73
Ac: 0.4826 0.2413 0.7238  4 Dy 3.47-3.65, 1 Sm 3.73
Ac: 0.4826 0.2413 0.2407  4 Dy 3.48-3.65, 1 Sm 3.73
Ac: 0.0006 0.2419 0.7593  4 Dy 3.48-3.65, 1 Sm 3.73
Ac: 0.5174 0.7587 0.7593  4 Dy 3.48-3.65, 1 Sm 3.73
Ac: 0.0006 0.7587 0.7593  4 Dy 3.48-3.65, 1 Sm 3.73
Ac: 0.9994 0.2413 0.2407  4 Dy 3.48-3.65, 1 Sm 3.73
Ac: 0.9994 0.7581 0.2407  4 Dy 3.48-3.65, 1 Sm 3.73
Sm: 0.0000 0.5000 0.5000  8 Ac 3.73, 6 Dy 4.16
Dy: 0.0000 0.0000 0.0000  8 Ac 3.47-3.48
Dy: 0.0000 0.5000 0.0000  8 Ac 3.65
Dy: 0.5000 0.5000 0.0000  8 Ac 3.65
Dy: 0.5000 0.0000 0.0000  8 Ac 3.65

=====

# 2
First-principles (GGA-PBE) data for an optimized crystal structure of Ac3Sm5Dy2, as listed in the Alexandria database.

Properties
E (Ha/atom): -0.1624
Formation energy (eV per formula unit): 0.94
Symmetry: P-1 (2)

Lattice parameters (Å, degrees): 12.3629 9.1937 9.2324 97.39 118.29 117.67
Last column: nearest neighbours and their distance in Å.
Fractional positions:
Ac: 0.2462 0.0632 0.9242  3 Ac 3.61-3.90, 4 Dy 3.62-3.98, 6 Sm 3.74-4.04
Ac: 0.7538 0.9368 0.0758  3 Ac 3.61-3.90, 4 Dy 3.62-3.98, 6 Sm 3.74-4.04
Ac: 0.5545 0.5911 0.2269  5 Sm 3.42-3.69, 1 Ac 3.59, 2 Dy 3.69-3.79
Ac: 0.4455 0.4089 0.7731  5 Sm 3.42-3.69, 1 Ac 3.59, 2 Dy 3.69-3.79
Ac: 0.2436 0.8034 0.1866  6 Sm 3.40-3.79, 1 Ac 3.61, 2 Dy 3.79-3.81
Ac: 0.7564 0.1966 0.8134  6 Sm 3.40-3.79, 1 Ac 3.61, 2 Dy 3.79-3.81
Sm: 0.1449 0.3759 0.0081  1 Sm 3.34, 3 Ac 3.41-3.69, 2 Dy 3.54-3.70
Sm: 0.8551 0.6241 0.9919  1 Sm 3.34, 3 Ac 3.41-3.69, 2 Dy 3.54-3.70
Sm: 0.9555 0.7898 0.4132  5 Sm 3.34-3.71, 1 Ac 3.68
Sm: 0.5535 0.3303 0.4790  4 Ac 3.55-3.88, 5 Sm 3.59-3.95, 2 Dy 3.67-3.96
Sm: 0.0445 0.2102 0.5868  5 Sm 3.34-3.71, 1 Ac 3.68
Sm: 0.4465 0.6697 0.5210  4 Ac 3.55-3.88, 5 Sm 3.59-3.95, 2 Dy 3.67-3.96
Sm: 0.9426 0.5206 0.6535  7 Sm 3.53-3.90, 2 Dy 3.63-3.80, 2 Ac 3.79-3.90
Sm: 0.0574 0.4794 0.3465  7 Sm 3.53-3.90, 2 Dy 3.63-3.80, 2 Ac 3.79-3.90
Sm: 0.3505 0.9785 0.6181  4 Ac 3.40-3.75, 2 Dy 3.52-3.79, 3 Sm 3.60-3.71
Sm: 0.6495 0.0215 0.3819  4 Ac 3.40-3.75, 2 Dy 3.52-3.79, 3 Sm 3.60-3.71
Dy: 0.8510 0.8723 0.7292  7 Sm 3.54-3.96, 3 Ac 3.62-3.79, 1 Dy 3.95
Dy: 0.1490 0.1277 0.2708  7 Sm 3.54-3.96, 3 Ac 3.62-3.79, 1 Dy 3.95
Dy: 0.3433 0.7205 0.8679  6 Sm 3.52-3.82, 5 Ac 3.72-3.91
Dy: 0.6567 0.2795 0.1321  6 Sm 3.52-3.82, 5 Ac 3.72-3.91

=====

Question: Which of these has the highest formation energy?
Answer: Ac8SmDy4

=====

Question: formation energy of number 1 (Ac8SmDy4)?
Answer: 5.10 eV per formula unit

=====

Question: What is the formula in the first record?
Answer: Ac8SmDy4